Record 1
A relaxed structure of HoMnAs2Rh5. Source: the Alexandria database, functional PBE. Values from VASP.

```
&SYSTEM
  ibrav = 0, nat = 9, ntyp = 4
/
ATOMIC_SPECIES
Ho 164.93 Ho.upf
Mn 54.94 Mn.upf
As 74.92 As.upf
Rh 102.91 Rh.upf
CELL_PARAMETERS angstrom
3.9385 0.0000 0.0000
0.0000 3.9385 0.0000
0.0000 0.0000 10.8124
ATOMIC_POSITIONS crystal
Ho 0.0000 0.0000 0.0000
Mn 0.5000 0.5000 0.5000
As 0.5000 0.5000 0.2199
As 0.5000 0.5000 0.7801
Rh 0.0000 0.5000 0.3584
Rh 0.0000 0.5000 0.6416
Rh 0.5000 0.0000 0.3584
Rh 0.5000 0.0000 0.6416
Rh 0.5000 0.5000 0.0000
```

Results
Formation energy: -1.6 eV/f.u.

***

Record 2
A relaxed structure of HoMoAs. Source: the Alexandria database, functional PBE. Values from VASP.

```
&SYSTEM
  ibrav = 0, nat = 6, ntyp = 3
/
ATOMIC_SPECIES
Ho 164.93 Ho.upf
Mo 95.94 Mo.upf
As 74.92 As.upf
CELL_PARAMETERS angstrom
4.7212 -2.0079 0.0000
4.7212 2.0079 0.0000
-3.0824 0.0000 7.6285
ATOMIC_POSITIONS crystal
Ho 0.2028 0.2028 0.1608
Ho 0.7972 0.7972 0.8392
Mo 0.1698 0.1698 0.5077
Mo 0.8302 0.8302 0.4923
As 0.0716 0.0716 0.7740
As 0.9284 0.9284 0.2260
```

Results
Formation energy: -0.9 eV/f.u.

***

Among the records above, which one has the lowest formation energy?
HoMnAs2Rh5

***

Please write out number 1 again, unchanged.
A relaxed structure of HoMnAs2Rh5. Source: the Alexandria database, functional PBE. Values from VASP.

```
&SYSTEM
  ibrav = 0, nat = 9, ntyp = 4
/
ATOMIC_SPECIES
Ho 164.93 Ho.upf
Mn 54.94 Mn.upf
As 74.92 As.upf
Rh 102.91 Rh.upf
CELL_PARAMETERS angstrom
3.9385 0.0000 0.0000
0.0000 3.9385 0.0000
0.0000 0.0000 10.8124
ATOMIC_POSITIONS crystal
Ho 0.0000 0.0000 0.0000
Mn 0.5000 0.5000 0.5000
As 0.5000 0.5000 0.2199
As 0.5000 0.5000 0.7801
Rh 0.0000 0.5000 0.3584
Rh 0.0000 0.5000 0.6416
Rh 0.5000 0.0000 0.3584
Rh 0.5000 0.0000 0.6416
Rh 0.5000 0.5000 0.0000
```

Results
Formation energy: -1.6 eV/f.u.